Entry 1:
# CaZn2As

A relaxed structure of CaZn2As (PBE, the Alexandria database).

Lattice parameters (Å, degrees): 7.9364 7.9364 5.6734 90.00 90.00 90.00
Space group I-42d (No. 122)
Unique sites:
Ca1 0.0000 0.0000 0.0000 (multiplicity 4)
Zn1 0.1908 0.2500 0.6250 (multiplicity 8)
As1 0.0000 0.0000 0.5000 (multiplicity 4)

The calculation puts the calculated formation energy at -0.25 eV per atom. As for the mass density: 4.57 Mg/m³.

---

Entry 2:
# CaZn2As

A relaxed structure of CaZn2As (PBE, the Alexandria database).

Lattice parameters (Å, degrees): 4.2198 5.9645 7.0852 90.00 90.00 90.00
Space group Imm2 (No. 44)
Unique sites:
Ca1 0.0000 0.0000 0.0000 (multiplicity 2)
Zn1 0.0000 0.0000 0.5027 (multiplicity 2)
Zn2 0.0000 0.5000 0.1985 (multiplicity 2)
As1 0.0000 0.5000 0.8068 (multiplicity 2)

The calculation puts the calculated formation energy at -0.29 eV per atom. As for the mass density: 4.58 Mg/m³.

---

Entry 3:
# CaZn2As

A relaxed structure of CaZn2As (PBE, the Alexandria database).

Lattice parameters (Å, degrees): 4.2278 4.4788 4.8203 90.00 95.18 90.00
Space group P2/m (No. 10)
Unique sites:
Ca1 0.0000 0.0000 0.0000 (multiplicity 1)
Zn1 0.4129 0.5000 0.7531 (multiplicity 2)
As1 0.5000 0.0000 0.5000 (multiplicity 1)

The calculation puts the calculated formation energy at -0.35 eV per atom. As for the mass density: 4.49 Mg/m³.